VASP calculation (PBEsol) on Nb2HWN after structural relaxation.

Computed properties:
N(E_F): 0.4377 states/eV per atom
DFT total energy: -9.31 eV per atom

CIF file:
```
data_Nb2HWN
_cell_length_a 4.459
_cell_length_b 4.459
_cell_length_c 3.080
_cell_angle_alpha 90.00
_cell_angle_beta 90.00
_cell_angle_gamma 90.00
_symmetry_space_group_name_H-M 'P 4/m m m'
_symmetry_Int_Tables_number 123
_symmetry_space_group_name_Hall '-P 4 2'
loop_
_atom_site_label
_atom_site_type_symbol
_atom_site_fract_x
_atom_site_fract_y
_atom_site_fract_z
Nb1 Nb 0.000 0.500 0.000
H1 H 0.000 0.000 0.500
W1 W 0.500 0.500 0.500
N1 N 0.000 0.000 0.000
```

=====

VASP calculation (PBEsol) on NaZnSn2O after structural relaxation.

Computed properties:
N(E_F): 0.5391 states/eV per atom
Formation energy from raw total energies: 0.474 eV/atom
DFT total energy: -2.88 eV per atom

CIF file:
```
data_NaZnSn2O
_cell_length_a 5.395
_cell_length_b 5.395
_cell_length_c 3.870
_cell_angle_alpha 90.00
_cell_angle_beta 90.00
_cell_angle_gamma 90.00
_symmetry_space_group_name_H-M 'P 4/m m m'
_symmetry_Int_Tables_number 123
_symmetry_space_group_name_Hall '-P 4 2'
loop_
_atom_site_label
_atom_site_type_symbol
_atom_site_fract_x
_atom_site_fract_y
_atom_site_fract_z
Na1 Na 0.000 0.000 0.000
Zn1 Zn 0.500 0.500 0.500
Sn1 Sn 0.000 0.500 0.000
O1 O 0.000 0.000 0.500
```

=====

VASP calculation (PBEsol) on Zr2HgBW after structural relaxation.

Computed properties:
N(E_F): 1.4296 states/eV per atom
Energy of formation from the pure elements: 2.5109 eV/atom
DFT total energy: -5.40 eV per atom

CIF file:
```
data_Zr2HgBW
_cell_length_a 5.123
_cell_length_b 5.123
_cell_length_c 4.854
_cell_angle_alpha 90.00
_cell_angle_beta 90.00
_cell_angle_gamma 90.00
_symmetry_space_group_name_H-M 'P 4/m m m'
_symmetry_Int_Tables_number 123
_symmetry_space_group_name_Hall '-P 4 2'
loop_
_atom_site_label
_atom_site_type_symbol
_atom_site_fract_x
_atom_site_fract_y
_atom_site_fract_z
Zr1 Zr 0.000 0.500 0.000
Hg1 Hg 0.000 0.000 0.000
B1 B 0.500 0.500 0.500
W1 W 0.000 0.000 0.500
```

=====

VASP calculation (PBEsol) on Lu2CoCu after structural relaxation.

Computed properties:
N(E_F): 0.7320 states/eV per atom
Energy of formation from the pure elements: -0.2724 eV/atom
DFT total energy: -5.73 eV per atom

CIF file:
```
data_Lu2CoCu
_cell_length_a 6.520
_cell_length_b 6.520
_cell_length_c 6.520
_cell_angle_alpha 90.00
_cell_angle_beta 90.00
_cell_angle_gamma 90.00
_symmetry_space_group_name_H-M 'F m -3 m'
_symmetry_Int_Tables_number 225
_symmetry_space_group_name_Hall '-F 4 2 3'
loop_
_atom_site_label
_atom_site_type_symbol
_atom_site_fract_x
_atom_site_fract_y
_atom_site_fract_z
Lu1 Lu 0.250 0.250 0.250
Co1 Co 0.000 0.000 0.000
Cu1 Cu 0.000 0.000 0.500
```

=====

VASP calculation (PBEsol) on RbLiHf2 after structural relaxation.

Computed properties:
N(E_F): 1.0844 states/eV per atom
Energy of formation from the pure elements: 1.0677 eV/atom
DFT total energy: -4.93 eV per atom

CIF file:
```
data_RbLiHf2
_cell_length_a 4.077
_cell_length_b 4.077
_cell_length_c 25.371
_cell_angle_alpha 90.00
_cell_angle_beta 90.00
_cell_angle_gamma 90.00
_symmetry_space_group_name_H-M 'I -4 2 d'
_symmetry_Int_Tables_number 122
_symmetry_space_group_name_Hall 'I -4 2bw'
loop_
_atom_site_label
_atom_site_type_symbol
_atom_site_fract_x
_atom_site_fract_y
_atom_site_fract_z
Rb1 Rb 0.000 0.000 0.000
Li1 Li 0.000 0.000 0.500
Hf1 Hf 0.240 0.750 0.625
```

=====

VASP calculation (PBEsol) on TlCrAg2S after structural relaxation.

Computed properties:
N(E_F): 0.4279 states/eV per atom
Formation energy from raw total energies: 0.320 eV/atom
DFT total energy: -4.46 eV per atom

CIF file:
```
data_TlCrAg2S
_cell_length_a 4.826
_cell_length_b 4.826
_cell_length_c 4.429
_cell_angle_alpha 90.00
_cell_angle_beta 90.00
_cell_angle_gamma 90.00
_symmetry_space_group_name_H-M 'P 4/m m m'
_symmetry_Int_Tables_number 123
_symmetry_space_group_name_Hall '-P 4 2'
loop_
_atom_site_label
_atom_site_type_symbol
_atom_site_fract_x
_atom_site_fract_y
_atom_site_fract_z
Tl1 Tl 0.000 0.000 0.000
Cr1 Cr 0.500 0.500 0.000
Ag1 Ag 0.000 0.500 0.500
S1 S 0.500 0.500 0.500
```